CaGa2Ag: relaxed, PBE.

Properties
Its total magnetization is 0.0 Bohr magnetons per cell. The value obtained for the formation energy is -235 meV/atom.

Cell: 4.5310 4.2910 4.2910 Å, 90.00 90.00 90.00°
Positions (direct):
Ca 0.5000 0.0000 0.0000
Ga 0.0000 0.0000 0.5000
Ga 0.0000 0.5000 0.0000
Ag 0.5000 0.5000 0.5000